# 1
Density functional theory data (PBE) for a geometry-optimized Pm2GdPu structure.

Values from the calculation:
total energy	-9.278	eV/atom
total moment	14.49	μB per formula unit
Fermi-level density of states	52.57	states/eV per cell
ΔE_f	201	meV per atom

a = 8.033 Å, b = 8.033 Å, c = 8.033 Å
α = 90.00°, β = 90.00°, γ = 90.00°
Atoms (fractional coordinates):
Pm 0.250 0.250 0.250
Pm 0.250 0.250 0.750
Pm 0.250 0.750 0.250
Pm 0.250 0.750 0.750
Pm 0.750 0.250 0.250
Pm 0.750 0.250 0.750
Pm 0.750 0.750 0.250
Pm 0.750 0.750 0.750
Gd 0.000 0.000 0.000
Gd 0.000 0.500 0.500
Gd 0.500 0.000 0.500
Gd 0.500 0.500 0.000
Pu 0.000 0.000 0.500
Pu 0.000 0.500 0.000
Pu 0.500 0.000 0.000
Pu 0.500 0.500 0.500

=====

# 2
Density functional theory data (PBE) for a geometry-optimized Hf2HPdPt structure.

Values from the calculation:
total energy	-7.544	eV/atom
total moment	0.00	μB per formula unit
Fermi-level density of states	4.35	states/eV per cell

a = 4.396 Å, b = 4.396 Å, c = 3.855 Å
α = 90.00°, β = 90.00°, γ = 90.00°
Atoms (fractional coordinates):
Hf 0.000 0.500 0.000
Hf 0.500 0.000 0.000
H 0.000 0.000 0.000
Pd 0.000 0.000 0.500
Pt 0.500 0.500 0.500

=====

# 3
Density functional theory data (PBE) for a geometry-optimized AcP4H structure.

Values from the calculation:
total energy	-4.892	eV/atom
total moment	0.00	μB per formula unit
Fermi-level density of states	3.81	states/eV per cell

a = 5.404 Å, b = 5.404 Å, c = 5.404 Å
α = 60.00°, β = 60.00°, γ = 60.00°
Atoms (fractional coordinates):
Ac 0.000 0.000 0.000
P 0.178 0.607 0.607
P 0.607 0.178 0.607
P 0.607 0.607 0.178
P 0.607 0.607 0.607
H 0.250 0.250 0.250

=====

# 4
Density functional theory data (PBE) for a geometry-optimized LiLaTl2I6 structure.

Values from the calculation:
total energy	-3.181	eV/atom
total moment	0.00	μB per formula unit
Fermi-level density of states	0.00	states/eV per cell

a = 8.630 Å, b = 8.630 Å, c = 8.630 Å
α = 58.42°, β = 58.42°, γ = 58.42°
Atoms (fractional coordinates):
Li 0.000 0.000 0.000
La 0.495 0.495 0.495
Tl 0.288 0.288 0.288
Tl 0.791 0.791 0.791
I 0.144 0.336 0.737
I 0.231 0.843 0.656
I 0.336 0.737 0.144
I 0.656 0.231 0.843
I 0.737 0.144 0.336
I 0.843 0.656 0.231

=====

# 5
Density functional theory data (PBE) for a geometry-optimized Tb3Ho3Mg structure.

Values from the calculation:
total energy	-4.077	eV/atom
total moment	0.00	μB per formula unit
Fermi-level density of states	19.76	states/eV per cell
ΔE_f	97	meV per atom

a = 14.319 Å, b = 14.319 Å, c = 14.319 Å
α = 24.72°, β = 24.72°, γ = 24.72°
Atoms (fractional coordinates):
Tb 0.100 0.435 0.771
Tb 0.229 0.900 0.565
Tb 0.435 0.771 0.100
Tb 0.565 0.229 0.900
Tb 0.771 0.100 0.435
Tb 0.900 0.565 0.229
Ho 0.035 0.700 0.368
Ho 0.300 0.632 0.965
Ho 0.368 0.035 0.700
Ho 0.632 0.965 0.300
Ho 0.700 0.368 0.035
Ho 0.965 0.300 0.632
Mg 0.167 0.167 0.167
Mg 0.833 0.833 0.833

=====

# 6
Density functional theory data (PBE) for a geometry-optimized Be7Ru6 structure.

Values from the calculation:
total energy	-6.499	eV/atom
total moment	0.00	μB per formula unit
Fermi-level density of states	6.23	states/eV per cell
ΔE_f	-211	meV per atom

a = 8.637 Å, b = 8.637 Å, c = 8.637 Å
α = 29.55°, β = 29.55°, γ = 29.55°
Atoms (fractional coordinates):
Be 0.000 0.000 0.000
Be 0.092 0.092 0.590
Be 0.092 0.590 0.092
Be 0.410 0.908 0.908
Be 0.590 0.092 0.092
Be 0.908 0.410 0.908
Be 0.908 0.908 0.410
Ru 0.167 0.167 0.167
Ru 0.348 0.348 0.348
Ru 0.452 0.452 0.452
Ru 0.548 0.548 0.548
Ru 0.652 0.652 0.652
Ru 0.833 0.833 0.833

=====

# 7
Density functional theory data (PBE) for a geometry-optimized HoBeRu structure.

Values from the calculation:
total energy	-6.116	eV/atom
total moment	0.00	μB per formula unit
Fermi-level density of states	3.87	states/eV per cell
ΔE_f	-256	meV per atom

a = 3.213 Å, b = 3.213 Å, c = 9.489 Å
α = 90.00°, β = 90.00°, γ = 90.00°
Atoms (fractional coordinates):
Ho 0.000 0.000 0.000
Ho 0.500 0.500 0.500
Be 0.000 0.000 0.715
Be 0.500 0.500 0.215
Ru 0.000 0.000 0.294
Ru 0.500 0.500 0.794

=====

# 8
Density functional theory data (PBE) for a geometry-optimized Cu2RhI6 structure.

Values from the calculation:
total energy	-2.887	eV/atom
total moment	0.00	μB per formula unit
Fermi-level density of states	16.48	states/eV per cell

a = 8.941 Å, b = 8.941 Å, c = 7.229 Å
α = 97.99°, β = 97.99°, γ = 85.06°
Atoms (fractional coordinates):
Cu 0.093 0.270 0.328
Cu 0.270 0.093 0.828
Cu 0.730 0.907 0.172
Cu 0.907 0.730 0.672
Rh 0.416 0.584 0.750
Rh 0.584 0.416 0.250
I 0.036 0.209 0.642
I 0.140 0.617 0.872
I 0.209 0.036 0.142
I 0.310 0.468 0.391
I 0.383 0.860 0.628
I 0.468 0.310 0.891
I 0.532 0.690 0.109
I 0.617 0.140 0.372
I 0.690 0.532 0.609
I 0.791 0.964 0.858
I 0.860 0.383 0.128
I 0.964 0.791 0.358

=====

# 9
Density functional theory data (PBE) for a geometry-optimized Pr3Sm3Th2 structure.

Values from the calculation:
total energy	-5.301	eV/atom
total moment	0.00	μB per formula unit
Fermi-level density of states	12.23	states/eV per cell
ΔE_f	116	meV per atom

a = 5.930 Å, b = 6.175 Å, c = 8.727 Å
α = 110.47°, β = 109.77°, γ = 90.34°
Atoms (fractional coordinates):
Pr 0.000 0.000 0.000
Pr 0.139 0.690 0.276
Pr 0.861 0.310 0.724
Sm 0.366 0.914 0.731
Sm 0.500 0.500 0.000
Sm 0.634 0.086 0.269
Th 0.250 0.321 0.502
Th 0.750 0.679 0.498

=====

# 10
Density functional theory data (PBE) for a geometry-optimized YLuSc2 structure.

Values from the calculation:
total energy	-5.806	eV/atom
total moment	0.00	μB per formula unit
Fermi-level density of states	32.59	states/eV per cell
ΔE_f	106	meV per atom

a = 7.620 Å, b = 7.620 Å, c = 7.620 Å
α = 90.00°, β = 90.00°, γ = 90.00°
Atoms (fractional coordinates):
Y 0.000 0.000 0.000
Y 0.000 0.500 0.500
Y 0.500 0.000 0.500
Y 0.500 0.500 0.000
Lu 0.000 0.000 0.500
Lu 0.000 0.500 0.000
Lu 0.500 0.000 0.000
Lu 0.500 0.500 0.500
Sc 0.250 0.250 0.250
Sc 0.250 0.250 0.750
Sc 0.250 0.750 0.250
Sc 0.250 0.750 0.750
Sc 0.750 0.250 0.250
Sc 0.750 0.250 0.750
Sc 0.750 0.750 0.250
Sc 0.750 0.750 0.750

=====

# 11
Density functional theory data (PBE) for a geometry-optimized Tb2HoO structure.

Values from the calculation:
total energy	-5.528	eV/atom
total moment	0.00	μB per formula unit
Fermi-level density of states	5.13	states/eV per cell

a = 3.198 Å, b = 3.198 Å, c = 8.709 Å
α = 90.00°, β = 90.00°, γ = 90.00°
Atoms (fractional coordinates):
Tb 0.000 0.000 0.175
Tb 0.000 0.000 0.825
Ho 0.500 0.500 0.500
O 0.500 0.500 0.000

=====

# 12
Density functional theory data (PBE) for a geometry-optimized ReHg structure.

Values from the calculation:
total energy	-5.515	eV/atom
total moment	0.00	μB per formula unit
Fermi-level density of states	5.72	states/eV per cell
ΔE_f	860	meV per atom

a = 12.094 Å, b = 2.795 Å, c = 4.913 Å
α = 90.00°, β = 113.67°, γ = 90.00°
Atoms (fractional coordinates):
Re 0.156 0.000 0.401
Re 0.344 0.500 0.599
Re 0.656 0.500 0.401
Re 0.844 0.000 0.599
Hg 0.103 0.500 0.849
Hg 0.397 0.000 0.151
Hg 0.603 0.000 0.849
Hg 0.897 0.500 0.151